No. 1
{"formula": "Pr2NdSm5", "functional": "PBE", "state": "relaxed", "e_above_lowest_polymorph_ev_per_atom": 0.140, "total_magnetization_mub_per_cell": 0.000, "e_form_ev_per_atom": 0.1550, "n_ef_per_ev_atom": 1.5534, "volume_a3_per_atom": 34.8, "energy_ev_per_cell": -73.36, "lattice": [[9.353, 0.000, -4.001], [-1.006, 6.109, -2.351], [-0.867, -1.754, 10.906]], "species": ["Pr", "Sm", "Pr", "Pr", "Sm", "Sm", "Sm", "Nd", "Sm", "Sm", "Nd", "Pr", "Sm", "Sm", "Sm", "Sm"], "fractional_positions": [[0.667, 0.964, 0.842], [0.509, 0.547, 0.195], [0.825, 0.536, 0.158], [0.333, 0.036, 0.158], [0.314, 0.953, 0.805], [0.491, 0.453, 0.805], [0.061, 0.250, 0.000], [0.500, 0.500, 0.500], [0.711, 0.123, 0.599], [0.888, 0.623, 0.599], [0.000, 0.000, 0.500], [0.175, 0.464, 0.842], [0.939, 0.750, 0.000], [0.112, 0.377, 0.401], [0.289, 0.877, 0.401], [0.686, 0.047, 0.195]]}

***

No. 2
{"formula": "Tb3Ho2Al3", "functional": "PBE", "state": "relaxed", "total_magnetization_mub_per_cell": 0.000, "e_form_ev_per_atom": -0.2988, "n_ef_per_ev_atom": 0.7094, "volume_a3_per_atom": 25.6, "energy_ev_per_cell": -36.66, "lattice": [[3.673, 0.000, 0.000], [0.000, 5.166, 0.000], [-1.836, -2.583, 10.791]], "species": ["Tb", "Ho", "Al", "Tb", "Tb", "Al", "Ho", "Al"], "fractional_positions": [[0.500, 0.000, 0.000], [0.270, 0.770, 0.539], [0.883, 0.883, 0.766], [0.620, 0.620, 0.241], [0.380, 0.380, 0.759], [0.000, 0.500, 0.000], [0.730, 0.230, 0.461], [0.117, 0.117, 0.234]]}

***

No. 3
{"formula": "InCu2Os", "functional": "PBE", "state": "relaxed", "total_magnetization_mub_per_cell": 0.000, "e_form_ev_per_atom": 0.3624, "n_ef_per_ev_atom": 0.5427, "volume_a3_per_atom": 14.8, "energy_ev_per_cell": -20.71, "lattice": [[-1.515, 3.024, -2.493], [-1.720, -1.802, -1.139], [-4.403, 0.244, 2.972]], "species": ["Cu", "Os", "Cu", "In"], "fractional_positions": [[0.000, 0.190, 0.994], [0.500, 0.796, 0.782], [0.500, 0.068, 0.241], [0.000, 0.446, 0.484]]}

***

No. 4
{"formula": "K5Hg7", "functional": "PBE", "state": "relaxed", "total_magnetization_mub_per_cell": 0.000, "e_form_ev_per_atom": -0.2696, "n_ef_per_ev_atom": 0.4107, "volume_a3_per_atom": 35.2, "energy_ev_per_cell": -43.34, "lattice": [[-0.672, -0.979, -8.281], [8.704, -5.407, -0.067], [-10.277, -16.577, 2.793]], "species": ["Hg", "K", "K", "K", "Hg", "Hg", "K", "K", "Hg", "K", "Hg", "K", "Hg", "Hg", "K", "K", "K", "Hg", "Hg", "K", "K", "Hg", "K", "Hg", "K", "K", "Hg", "Hg", "Hg", "K", "K", "Hg", "Hg", "Hg", "K", "K", "Hg", "Hg", "Hg", "Hg", "Hg", "Hg", "K", "Hg", "Hg", "Hg", "Hg", "Hg"], "fractional_positions": [[0.933, 0.370, 0.143], [0.250, 0.007, 0.390], [0.750, 0.481, 0.982], [0.750, 0.815, 0.790], [0.067, 0.319, 0.881], [0.933, 0.319, 0.619], [0.250, 0.993, 0.890], [0.250, 0.815, 0.710], [0.500, 0.877, 0.250], [0.250, 0.481, 0.518], [0.433, 0.630, 0.857], [0.750, 0.519, 0.482], [0.067, 0.370, 0.357], [0.567, 0.630, 0.643], [0.750, 0.895, 0.412], [0.250, 0.105, 0.588], [0.750, 0.185, 0.290], [0.567, 0.319, 0.619], [0.067, 0.630, 0.857], [0.750, 0.426, 0.772], [0.250, 0.426, 0.728], [0.935, 0.194, 0.471], [0.750, 0.007, 0.110], [0.567, 0.681, 0.119], [0.750, 0.993, 0.610], [0.750, 0.105, 0.912], [0.000, 0.877, 0.250], [0.565, 0.194, 0.471], [0.065, 0.194, 0.029], [0.250, 0.574, 0.228], [0.250, 0.519, 0.018], [0.933, 0.630, 0.643], [0.433, 0.681, 0.381], [0.065, 0.806, 0.529], [0.250, 0.185, 0.210], [0.750, 0.574, 0.272], [0.933, 0.681, 0.119], [0.435, 0.194, 0.029], [0.565, 0.806, 0.971], [0.000, 0.123, 0.750], [0.567, 0.370, 0.143], [0.067, 0.681, 0.381], [0.250, 0.895, 0.088], [0.435, 0.806, 0.529], [0.433, 0.370, 0.357], [0.935, 0.806, 0.971], [0.433, 0.319, 0.881], [0.500, 0.123, 0.750]]}

***

No. 5
{"formula": "CuRh2", "functional": "PBE", "state": "relaxed", "e_above_lowest_polymorph_ev_per_atom": 0.145, "total_magnetization_mub_per_cell": 1.595, "e_form_ev_per_atom": 0.1877, "n_ef_per_ev_atom": 1.3209, "volume_a3_per_atom": 13.9, "energy_ev_per_cell": -18.24, "lattice": [[4.245, 0.000, 0.000], [-2.122, 3.676, 0.000], [0.000, 0.000, 2.668]], "species": ["Rh", "Rh", "Cu"], "fractional_positions": [[0.667, 0.333, 0.731], [0.333, 0.667, 0.269], [0.000, 0.000, 0.000]]}

***

No. 6
{"formula": "CuSn", "functional": "PBE", "state": "relaxed", "total_magnetization_mub_per_cell": 0.000, "e_form_ev_per_atom": 0.2561, "n_ef_per_ev_atom": 0.7081, "volume_a3_per_atom": 24.0, "energy_ev_per_cell": -15.17, "lattice": [[4.609, 0.000, 0.000], [-2.305, 3.992, 0.000], [0.000, 0.000, 5.217]], "species": ["Sn", "Cu", "Cu", "Sn"], "fractional_positions": [[0.667, 0.333, 0.750], [0.333, 0.667, 0.750], [0.667, 0.333, 0.250], [0.333, 0.667, 0.250]]}

***

No. 7
{"formula": "CaW2N", "functional": "PBE", "state": "relaxed", "total_magnetization_mub_per_cell": 0.000, "n_ef_per_ev_atom": 0.4806, "volume_a3_per_atom": 21.5, "energy_ev_per_cell": -67.89, "lattice": [[-2.522, 1.906, 5.376], [-4.954, -3.647, -1.031], [-1.737, -4.186, 4.287]], "species": ["W", "W", "W", "N", "W", "Ca", "Ca", "N"], "fractional_positions": [[0.375, 0.125, 0.250], [0.375, 0.625, 0.250], [0.375, 0.625, 0.750], [0.500, 0.500, 0.000], [0.875, 0.625, 0.750], [0.000, 0.000, 0.000], [0.750, 0.250, 0.500], [0.250, 0.750, 0.500]]}

***

No. 8
{"formula": "KHfOs2", "functional": "PBE", "state": "relaxed", "e_above_lowest_polymorph_ev_per_atom": 0.000, "total_magnetization_mub_per_cell": 0.000, "e_form_ev_per_atom": 1.1319, "n_ef_per_ev_atom": 1.2890, "volume_a3_per_atom": 18.6, "energy_ev_per_cell": -28.98, "lattice": [[-2.997, -2.077, 2.993], [-4.234, 1.916, 0.807], [-3.892, -2.103, -1.639]], "species": ["K", "Hf", "Os", "Os"], "fractional_positions": [[0.000, 0.000, 0.000], [0.500, 0.500, 0.500], [0.750, 0.750, 0.750], [0.250, 0.250, 0.250]]}